No. 1
First-principles (PBE-GGA) data for crystalline Y6NpS8 at its relaxed geometry, as listed in Alexandria.

## Properties
uncorrected formation energy	-1.94	eV/atom
DOS at the Fermi energy	14.45	states/eV/f.u.
total moment	5.10	μB/f.u.

abc: 11.067 11.067 11.067
angles: 90.00 90.00 90.00
Space group Fm-3m (No. 225)
Asymmetric unit:
Y (0.000, 0.250, 0.250) (multiplicity 24)
Np (0.000, 0.000, 0.000) (multiplicity 4)
S (0.000, 0.000, 0.252) (multiplicity 24)
S (0.250, 0.250, 0.250) (multiplicity 8)



No. 2
First-principles (PBE-GGA) data for crystalline NaTaAlAg2 at its relaxed geometry, as listed in Alexandria.

## Properties
DOS at the Fermi energy	2.68	states/eV/f.u.
total moment	0.00	μB/f.u.
E_form	1.34	eV/atom

abc: 4.552 4.552 4.830
angles: 90.00 90.00 90.00
Space group P4/mmm (No. 123)
Asymmetric unit:
Na (0.000, 0.000, 0.000) (multiplicity 1)
Ta (0.500, 0.500, 0.500) (multiplicity 1)
Al (0.000, 0.000, 0.500) (multiplicity 1)
Ag (0.000, 0.500, 0.000) (multiplicity 2)



No. 3
First-principles (PBE-GGA) data for crystalline MnNbCoHSe2 at its relaxed geometry, as listed in Alexandria.

## Properties
DOS at the Fermi energy	3.38	states/eV/f.u.
total moment	2.68	μB/f.u.
relative energy among the computed polymorphs	123	meV/atom

abc: 3.434 4.411 6.782
angles: 87.90 77.34 75.41
Space group P1 (No. 1)
Asymmetric unit:
Mn (0.000, 0.000, 0.000) (multiplicity 1)
Nb (0.731, 0.309, 0.354) (multiplicity 1)
Co (0.424, 0.860, 0.260) (multiplicity 1)
H (0.176, 0.576, 0.332) (multiplicity 1)
Se (0.218, 0.065, 0.596) (multiplicity 1)
Se (0.700, 0.570, 0.963) (multiplicity 1)



No. 4
First-principles (PBE-GGA) data for crystalline LiBe2GeBr at its relaxed geometry, as listed in Alexandria.

## Properties
uncorrected formation energy	0.94	eV/atom
DOS at the Fermi energy	1.28	states/eV/f.u.
total moment	0.00	μB/f.u.

abc: 4.514 4.514 4.508
angles: 90.00 90.00 90.00
Space group P4/mmm (No. 123)
Asymmetric unit:
Li (0.000, 0.000, 0.000) (multiplicity 1)
Be (0.000, 0.500, 0.000) (multiplicity 2)
Ge (0.000, 0.000, 0.500) (multiplicity 1)
Br (0.500, 0.500, 0.500) (multiplicity 1)



> Which of these has the highest DOS at the Fermi energy?

Y6NpS8



> The lowest DOS at the Fermi energy belongs to which entry?

LiBe2GeBr



> Which of these has the highest total moment?

Y6NpS8



> The highest DOS at the Fermi energy belongs to which entry?

Y6NpS8